1.
The following is a DFT calculation (PBE) of an optimized crystal structure of PrSmRu.

Values from the calculation:
* E above lowest polymorph: 0.466 eV per formula unit
* calculated formation energy: -6 meV per atom
* density of states at the Fermi level: 2.7 states/eV/cell
* E: -18.8 eV per formula unit

Cell lengths 4.7721, 4.7721, 3.8565 Å; angles 90.00, 90.00, 120.00 degrees
Space group P3m1 (No. 156)
Inequivalent atoms, fractional coordinates:
Pr 0.0000 0.0000 0.0000
Sm 0.3333 0.6667 0.5521
Ru 0.6667 0.3333 0.2950

***

2.
The following is a DFT calculation (PBE) of an optimized crystal structure of Ag2PS.

Values from the calculation:
* E above lowest polymorph: 0.000 eV per formula unit
* density of states at the Fermi level: 8.0 states/eV/cell
* E: -13.8 eV per formula unit

Cell lengths 6.149, 6.149, 9.318 Å; angles 90.00, 90.00, 90.00 degrees
Space group I-42d (No. 122)
Inequivalent atoms, fractional coordinates:
Ag 0.242 0.250 0.125
P 0.000 0.000 0.000
S 0.000 0.000 0.500

***

3.
The following is a DFT calculation (PBE) of an optimized crystal structure of Th3Re3B8.

Values from the calculation:
* calculated formation energy: -109 meV per atom
* density of states at the Fermi level: 13.0 states/eV/cell
* E: -114.6 eV per formula unit

Cell lengths 3.198, 8.934, 13.592 Å; angles 90.00, 90.00, 90.00 degrees
Space group Immm (No. 71)
Inequivalent atoms, fractional coordinates:
Th 0.000 0.000 0.000
Th 0.000 0.000 0.276
Re 0.000 0.218 0.500
Re 0.000 0.500 0.000
B 0.000 0.258 0.128
B 0.000 0.315 0.355

***

4.
The following is a DFT calculation (PBE) of an optimized crystal structure of La2GaNi5.

Values from the calculation:
* calculated formation energy: -293 meV per atom
* density of states at the Fermi level: 12.9 states/eV/cell
* E: -44.1 eV per formula unit

Cell lengths 5.804, 5.804, 8.594 Å; angles 90.00, 90.00, 90.00 degrees
Space group I4mm (No. 107)
Inequivalent atoms, fractional coordinates:
La 0.000 0.500 0.000
Ga 0.000 0.000 0.262
Ni 0.000 0.000 0.550
Ni 0.211 0.211 0.752

***

5.
The following is a DFT calculation (PBE) of an optimized crystal structure of Sm2Y4ErMg.

Values from the calculation:
* calculated formation energy: 27 meV per atom
* density of states at the Fermi level: 12.8 states/eV/cell
* E: -41.2 eV per formula unit

Cell lengths 4.994, 4.994, 10.088 Å; angles 90.00, 90.00, 90.00 degrees
Space group P4/mmm (No. 123)
Inequivalent atoms, fractional coordinates:
Sm 0.000 0.000 0.000
Sm 0.500 0.500 0.500
Y 0.000 0.500 0.249
Er 0.000 0.000 0.500
Mg 0.500 0.500 0.000

***

6.
The following is a DFT calculation (PBE) of an optimized crystal structure of Be3SnIr.

Values from the calculation:
* E above lowest polymorph: 0.000 eV per formula unit
* calculated formation energy: 250 meV per atom
* density of states at the Fermi level: 1.6 states/eV/cell
* E: -22.8 eV per formula unit

Cell lengths 4.318, 4.318, 4.318 Å; angles 90.00, 90.00, 90.00 degrees
Space group Pm-3m (No. 221)
Inequivalent atoms, fractional coordinates:
Be 0.000 0.000 0.500
Sn 0.500 0.500 0.500
Ir 0.000 0.000 0.000

***

7.
The following is a DFT calculation (PBE) of an optimized crystal structure of PmGaTcO6.

Values from the calculation:
* density of states at the Fermi level: 6.7 states/eV/cell
* E: -66.0 eV per formula unit

Cell lengths 5.1848, 5.1848, 10.0766 Å; angles 90.00, 90.00, 120.00 degrees
Space group P-31c (No. 163)
Inequivalent atoms, fractional coordinates:
Pm 0.0000 0.0000 0.0000
Ga 0.3333 0.6667 0.2500
Tc 0.3333 0.6667 0.7500
O 0.0094 0.3718 0.6430

***

8.
The following is a DFT calculation (PBE) of an optimized crystal structure of LiInCu2.

Values from the calculation:
* calculated formation energy: -97 meV per atom
* density of states at the Fermi level: 1.3 states/eV/cell
* E: -13.2 eV per formula unit

Cell lengths 4.196, 4.196, 6.657 Å; angles 90.00, 90.00, 90.00 degrees
Space group I-4m2 (No. 119)
Inequivalent atoms, fractional coordinates:
Li 0.000 0.000 0.000
In 0.000 0.500 0.250
Cu 0.000 0.000 0.500
Cu 0.000 0.500 0.750

***

9.
The following is a DFT calculation (PBE) of an optimized crystal structure of BaCr2As.

Values from the calculation:
* calculated formation energy: 58 meV per atom
* density of states at the Fermi level: 3.0 states/eV/cell
* E: -25.6 eV per formula unit

Cell lengths 3.620, 4.094, 6.606 Å; angles 90.00, 90.25, 90.00 degrees
Space group Pm (No. 6)
Inequivalent atoms, fractional coordinates:
Ba 0.000 0.000 0.000
Cr 0.004 0.500 0.535
Cr 0.503 0.000 0.515
As 0.502 0.500 0.273

***

10.
The following is a DFT calculation (PBE) of an optimized crystal structure of ReOsO2.

Values from the calculation:
* E above lowest polymorph: 5.562 eV per formula unit
* density of states at the Fermi level: 11.6 states/eV/cell
* E: -29.9 eV per formula unit

Cell lengths 5.596, 5.596, 5.596 Å; angles 90.00, 90.00, 90.00 degrees
Space group Fm-3m (No. 225)
Inequivalent atoms, fractional coordinates:
Re 0.000 0.000 0.000
Os 0.000 0.000 0.500
O 0.250 0.250 0.250

***

11.
The following is a DFT calculation (PBE) of an optimized crystal structure of CaPm15Ho4.

Values from the calculation:
* calculated formation energy: 25 meV per atom
* density of states at the Fermi level: 28.5 states/eV/cell
* E: -91.1 eV per formula unit

Cell lengths 5.144, 5.144, 25.621 Å; angles 90.00, 90.00, 90.00 degrees
Space group P4/mmm (No. 123)
Inequivalent atoms, fractional coordinates:
Ca 0.000 0.000 0.000
Pm 0.000 0.500 0.104
Pm 0.000 0.500 0.302
Pm 0.000 0.500 0.500
Pm 0.500 0.500 0.000
Pm 0.500 0.500 0.201
Pm 0.500 0.500 0.400
Ho 0.000 0.000 0.202
Ho 0.000 0.000 0.401

***

12.
The following is a DFT calculation (PBE) of an optimized crystal structure of Mg2AlPbAu4.

Values from the calculation:
* calculated formation energy: -385 meV per atom
* density of states at the Fermi level: 7.7 states/eV/cell
* E: -26.8 eV per formula unit

Cell lengths 4.5871, 4.5871, 26.0887 Å; angles 90.00, 90.00, 120.00 degrees
Space group R-3m (No. 166, hexagonal axes)
Inequivalent atoms, fractional coordinates:
Mg 0.0000 0.0000 0.2439
Al 0.0000 0.0000 0.5000
Pb 0.0000 0.0000 0.0000
Au 0.0000 0.0000 0.1351
Au 0.0000 0.0000 0.3969

***

Among the records above, which one has the lowest density of states at the Fermi level?
LiInCu2

***

The lowest density of states at the Fermi level belongs to which entry?
LiInCu2